Entry 1:
# MgTcIr

A geometry-optimized MgTcIr structure (PBE, the Alexandria database). Values from VASP.

Computed properties:
excess energy over the best structure of this formula in the dataset: 334 meV per atom
calculated formation energy: 0.1385 eV per atom

Structure (Quantum ESPRESSO input):
```
&SYSTEM
  ibrav = 0, nat = 6, ntyp = 3
/
ATOMIC_SPECIES
Mg 24.30 Mg.upf
Tc 98.00 Tc.upf
Ir 192.22 Ir.upf
ATOMIC_POSITIONS crystal
Mg 0.333 0.667 0.250
Mg 0.667 0.333 0.750
Tc 0.000 0.000 0.000
Tc 0.000 0.000 0.500
Ir 0.333 0.667 0.750
Ir 0.667 0.333 0.250
CELL_PARAMETERS angstrom
4.519 0.000 0.000
-2.260 3.914 0.000
0.000 0.000 5.128
```



Entry 2:
# Dy6Si2TeS3

A geometry-optimized Dy6Si2TeS3 structure (PBE, the Alexandria database). Values from VASP.

Computed properties:
ΔE_f (raw): -1.4835 eV per atom

Structure (Quantum ESPRESSO input):
```
&SYSTEM
  ibrav = 0, nat = 12, ntyp = 4
/
ATOMIC_SPECIES
Dy 162.50 Dy.upf
Si 28.09 Si.upf
Te 127.60 Te.upf
S 32.06 S.upf
ATOMIC_POSITIONS crystal
Dy 0.004 0.004 0.277
Dy 0.325 0.325 0.901
Dy 0.332 0.332 0.417
Dy 0.668 0.668 0.583
Dy 0.675 0.675 0.099
Dy 0.996 0.996 0.723
Si 0.167 0.167 0.335
Si 0.833 0.833 0.665
Te 0.500 0.500 0.000
S 0.163 0.163 0.836
S 0.500 0.500 0.500
S 0.837 0.837 0.164
CELL_PARAMETERS angstrom
8.831 -2.032 0.000
8.831 2.032 0.000
-1.756 0.000 7.993
```



Entry 3:
# ZnSiTcNi

A geometry-optimized ZnSiTcNi structure (PBE, the Alexandria database). Values from VASP.

Computed properties:
ΔE_f (raw): -0.2360 eV per atom

Structure (Quantum ESPRESSO input):
```
&SYSTEM
  ibrav = 0, nat = 16, ntyp = 4
/
ATOMIC_SPECIES
Zn 65.41 Zn.upf
Si 28.09 Si.upf
Tc 98.00 Tc.upf
Ni 58.69 Ni.upf
ATOMIC_POSITIONS crystal
Zn 0.000 0.000 0.000
Zn 0.000 0.500 0.500
Zn 0.500 0.000 0.500
Zn 0.500 0.500 0.000
Si 0.000 0.000 0.500
Si 0.000 0.500 0.000
Si 0.500 0.000 0.000
Si 0.500 0.500 0.500
Tc 0.250 0.250 0.750
Tc 0.250 0.750 0.250
Tc 0.750 0.250 0.250
Tc 0.750 0.750 0.750
Ni 0.250 0.250 0.250
Ni 0.250 0.750 0.750
Ni 0.750 0.250 0.750
Ni 0.750 0.750 0.250
CELL_PARAMETERS angstrom
5.866 0.000 0.000
0.000 5.866 0.000
0.000 0.000 5.866
```



Entry 4:
# TlZnHg3

A geometry-optimized TlZnHg3 structure (PBE, the Alexandria database). Values from VASP.

Computed properties:
excess energy over the best structure of this formula in the dataset: 216 meV per atom
calculated formation energy: 0.3086 eV per atom

Structure (Quantum ESPRESSO input):
```
&SYSTEM
  ibrav = 0, nat = 5, ntyp = 3
/
ATOMIC_SPECIES
Tl 204.38 Tl.upf
Zn 65.41 Zn.upf
Hg 200.59 Hg.upf
ATOMIC_POSITIONS crystal
Tl 0.000 0.000 0.000
Zn 0.500 0.500 0.500
Hg 0.000 0.000 0.500
Hg 0.000 0.500 0.000
Hg 0.500 0.000 0.000
CELL_PARAMETERS angstrom
5.962 0.000 0.000
0.000 5.962 0.000
0.000 0.000 5.962
```



Entry 5:
# Tb6CdFe2

A geometry-optimized Tb6CdFe2 structure (PBE, the Alexandria database). Values from VASP.

Computed properties:
calculated formation energy: -0.0911 eV per atom

Structure (Quantum ESPRESSO input):
```
&SYSTEM
  ibrav = 0, nat = 18, ntyp = 3
/
ATOMIC_SPECIES
Tb 158.93 Tb.upf
Cd 112.41 Cd.upf
Fe 55.84 Fe.upf
ATOMIC_POSITIONS crystal
Tb 0.011 0.225 0.786
Tb 0.187 0.291 0.478
Tb 0.187 0.709 0.896
Tb 0.312 0.016 0.704
Tb 0.312 0.608 0.296
Tb 0.440 0.225 0.214
Tb 0.560 0.775 0.786
Tb 0.688 0.392 0.704
Tb 0.688 0.984 0.296
Tb 0.813 0.291 0.104
Tb 0.813 0.709 0.522
Tb 0.989 0.775 0.214
Cd 0.000 0.000 0.000
Cd 0.500 0.500 0.000
Fe 0.108 0.608 0.500
Fe 0.387 0.000 0.387
Fe 0.613 0.000 0.613
Fe 0.892 0.392 0.500
CELL_PARAMETERS angstrom
-4.731 4.859 5.013
4.731 -4.859 5.013
4.731 4.859 -5.013
```



Entry 6:
# Ho4ErTl4

A geometry-optimized Ho4ErTl4 structure (PBE, the Alexandria database). Values from VASP.

Computed properties:
calculated formation energy: -0.1514 eV per atom

Structure (Quantum ESPRESSO input):
```
&SYSTEM
  ibrav = 0, nat = 18, ntyp = 3
/
ATOMIC_SPECIES
Ho 164.93 Ho.upf
Er 167.26 Er.upf
Tl 204.38 Tl.upf
ATOMIC_POSITIONS crystal
Ho 0.091 0.827 0.132
Ho 0.173 0.591 0.632
Ho 0.327 0.909 0.632
Ho 0.409 0.673 0.132
Ho 0.591 0.327 0.868
Ho 0.673 0.091 0.368
Ho 0.827 0.409 0.368
Ho 0.909 0.173 0.868
Er 0.250 0.250 0.750
Er 0.750 0.750 0.250
Tl 0.042 0.148 0.362
Tl 0.148 0.458 0.138
Tl 0.352 0.042 0.138
Tl 0.458 0.352 0.362
Tl 0.542 0.648 0.638
Tl 0.648 0.958 0.862
Tl 0.852 0.542 0.862
Tl 0.958 0.852 0.638
CELL_PARAMETERS angstrom
9.391 0.000 0.000
0.000 9.391 0.000
0.000 0.000 5.863
```



Entry 7:
# TmTc3B3

A geometry-optimized TmTc3B3 structure (PBE, the Alexandria database). Values from VASP.

Computed properties:
calculated formation energy: -0.3836 eV per atom

Structure (Quantum ESPRESSO input):
```
&SYSTEM
  ibrav = 0, nat = 14, ntyp = 3
/
ATOMIC_SPECIES
Tm 168.93 Tm.upf
Tc 98.00 Tc.upf
B 10.81 B.upf
ATOMIC_POSITIONS crystal
Tm 0.333 0.667 0.250
Tm 0.667 0.333 0.750
Tc 0.071 0.309 0.750
Tc 0.238 0.929 0.750
Tc 0.309 0.238 0.250
Tc 0.691 0.762 0.750
Tc 0.762 0.071 0.250
Tc 0.929 0.691 0.250
B 0.040 0.571 0.750
B 0.429 0.469 0.750
B 0.469 0.040 0.250
B 0.531 0.960 0.750
B 0.571 0.531 0.250
B 0.960 0.429 0.250
CELL_PARAMETERS angstrom
8.002 0.000 0.000
-4.001 6.930 0.000
0.000 0.000 3.103
```



Entry 8:
# Li4Mg3Pd2

A geometry-optimized Li4Mg3Pd2 structure (PBE, the Alexandria database). Values from VASP.

Computed properties:
excess energy over the best structure of this formula in the dataset: 0 meV per atom
calculated formation energy: -0.3566 eV per atom

Structure (Quantum ESPRESSO input):
```
&SYSTEM
  ibrav = 0, nat = 9, ntyp = 3
/
ATOMIC_SPECIES
Li 6.94 Li.upf
Mg 24.30 Mg.upf
Pd 106.42 Pd.upf
ATOMIC_POSITIONS crystal
Li 0.019 0.019 0.168
Li 0.345 0.345 0.605
Li 0.655 0.655 0.395
Li 0.981 0.981 0.832
Mg 0.000 0.000 0.500
Mg 0.315 0.315 0.936
Mg 0.685 0.685 0.064
Pd 0.340 0.340 0.280
Pd 0.660 0.660 0.720
CELL_PARAMETERS angstrom
5.000 -2.256 0.000
5.000 2.256 0.000
-4.983 0.000 6.796
```



Entry 9:
# Dy2Ni12As7

A geometry-optimized Dy2Ni12As7 structure (PBE, the Alexandria database). Values from VASP.

Computed properties:
excess energy over the best structure of this formula in the dataset: 0 meV per atom
calculated formation energy: -0.5378 eV per atom

Structure (Quantum ESPRESSO input):
```
&SYSTEM
  ibrav = 0, nat = 21, ntyp = 3
/
ATOMIC_SPECIES
Dy 162.50 Dy.upf
Ni 58.69 Ni.upf
As 74.92 As.upf
ATOMIC_POSITIONS crystal
Dy 0.000 0.000 0.000
Dy 0.333 0.667 0.500
Ni 0.048 0.772 0.500
Ni 0.092 0.382 0.000
Ni 0.228 0.276 0.500
Ni 0.290 0.908 0.000
Ni 0.458 0.238 0.000
Ni 0.515 0.053 0.500
Ni 0.538 0.485 0.500
Ni 0.618 0.710 0.000
Ni 0.724 0.952 0.500
Ni 0.762 0.219 0.000
Ni 0.781 0.542 0.000
Ni 0.947 0.462 0.500
As 0.073 0.631 0.000
As 0.263 0.046 0.500
As 0.369 0.442 0.000
As 0.558 0.927 0.000
As 0.667 0.333 0.500
As 0.783 0.737 0.500
As 0.954 0.217 0.500
CELL_PARAMETERS angstrom
9.362 0.000 0.000
-4.681 8.108 0.000
0.000 0.000 3.845
```



Entry 10:
# Th2CdHg6

A geometry-optimized Th2CdHg6 structure (PBE, the Alexandria database). Values from VASP.

Computed properties:
excess energy over the best structure of this formula in the dataset: 13 meV per atom
calculated formation energy: -0.1405 eV per atom

Structure (Quantum ESPRESSO input):
```
&SYSTEM
  ibrav = 0, nat = 9, ntyp = 3
/
ATOMIC_SPECIES
Th 232.04 Th.upf
Cd 112.41 Cd.upf
Hg 200.59 Hg.upf
ATOMIC_POSITIONS crystal
Th 0.333 0.667 0.167
Th 0.667 0.333 0.833
Cd 0.000 0.000 0.000
Hg 0.182 0.364 0.678
Hg 0.182 0.818 0.678
Hg 0.364 0.182 0.322
Hg 0.636 0.818 0.678
Hg 0.818 0.182 0.322
Hg 0.818 0.636 0.322
CELL_PARAMETERS angstrom
6.606 0.000 0.000
-3.303 5.721 0.000
0.000 0.000 5.970
```



Entry 11:
# YBe9Pd2

A geometry-optimized YBe9Pd2 structure (PBE, the Alexandria database). Values from VASP.

Computed properties:
calculated formation energy: -0.2963 eV per atom

Structure (Quantum ESPRESSO input):
```
&SYSTEM
  ibrav = 0, nat = 24, ntyp = 3
/
ATOMIC_SPECIES
Y 88.91 Y.upf
Be 9.01 Be.upf
Pd 106.42 Pd.upf
ATOMIC_POSITIONS crystal
Y 0.333 0.667 0.250
Y 0.667 0.333 0.750
Be 0.000 0.000 0.000
Be 0.000 0.000 0.250
Be 0.000 0.000 0.500
Be 0.000 0.000 0.750
Be 0.168 0.336 0.619
Be 0.168 0.336 0.881
Be 0.168 0.832 0.619
Be 0.168 0.832 0.881
Be 0.333 0.667 0.750
Be 0.336 0.168 0.119
Be 0.336 0.168 0.381
Be 0.664 0.832 0.619
Be 0.664 0.832 0.881
Be 0.667 0.333 0.250
Be 0.832 0.168 0.119
Be 0.832 0.168 0.381
Be 0.832 0.664 0.119
Be 0.832 0.664 0.381
Pd 0.333 0.667 0.041
Pd 0.333 0.667 0.459
Pd 0.667 0.333 0.541
Pd 0.667 0.333 0.959
CELL_PARAMETERS angstrom
4.517 0.000 0.000
-2.259 3.912 0.000
0.000 0.000 14.399
```



Entry 12:
# Cs2RbHg2

A geometry-optimized Cs2RbHg2 structure (PBE, the Alexandria database). Values from VASP.

Computed properties:
excess energy over the best structure of this formula in the dataset: 4 meV per atom
calculated formation energy: -0.1877 eV per atom

Structure (Quantum ESPRESSO input):
```
&SYSTEM
  ibrav = 0, nat = 10, ntyp = 3
/
ATOMIC_SPECIES
Cs 132.91 Cs.upf
Rb 85.47 Rb.upf
Hg 200.59 Hg.upf
ATOMIC_POSITIONS crystal
Cs 0.000 0.000 0.200
Cs 0.000 0.000 0.800
Cs 0.500 0.500 0.300
Cs 0.500 0.500 0.700
Rb 0.000 0.500 0.000
Rb 0.500 0.000 0.500
Hg 0.000 0.315 0.500
Hg 0.000 0.685 0.500
Hg 0.500 0.185 0.000
Hg 0.500 0.815 0.000
CELL_PARAMETERS angstrom
5.553 0.000 0.000
0.000 8.365 0.000
0.000 0.000 12.258
```